[1]
The following is a DFT calculation (GGA-PBE) of a relaxed Ac3Ga4Pt4 crystal.

a b c (Å): 4.4594 4.4032 13.3261
angles (deg): 99.51 99.63 90.00
Fractional coordinates of all 11 atoms:
Ac (0.3521, 0.8521, 0.7041)
Ac (0.6479, 0.1479, 0.2959)
Ac (0.0000, 0.0000, 0.0000)
Ga (0.8004, 0.3004, 0.6007)
Ga (0.4502, 0.4502, 0.9005)
Ga (0.5498, 0.5498, 0.0995)
Ga (0.1996, 0.6996, 0.3993)
Pt (0.2488, 0.2488, 0.4976)
Pt (0.1001, 0.6001, 0.2002)
Pt (0.8999, 0.3999, 0.7998)
Pt (0.7512, 0.7512, 0.5024)

Values from the calculation:
Its offset from the most stable computed form is 33 meV per atom. For the energy of formation from the pure elements, the calculation gives -0.952 eV per atom. The calculation puts the density at 11.36 g/cm3. The volume is 23.121 Å³ per atom. Its density of states at the Fermi level is 6.73 states/eV/cell.


[2]
The following is a DFT calculation (GGA-PBE) of a relaxed AcGaPt4 crystal.

a b c (Å): 4.0954 7.2079 7.8105
angles (deg): 90.00 90.00 90.00
Fractional coordinates of all 12 atoms:
Ac (0.0000, 0.6428, 0.7500)
Ac (0.0000, 0.3572, 0.2500)
Ga (0.0000, 0.2136, 0.7500)
Ga (0.0000, 0.7864, 0.2500)
Pt (0.0000, 0.0000, 0.5000)
Pt (0.0000, 0.0000, 0.0000)
Pt (0.5000, 0.9688, 0.7500)
Pt (0.5000, 0.0312, 0.2500)
Pt (0.5000, 0.6924, 0.0519)
Pt (0.5000, 0.3076, 0.9481)
Pt (0.5000, 0.6924, 0.4481)
Pt (0.5000, 0.3076, 0.5519)

Values from the calculation:
Its offset from the most stable computed form is 16 meV per atom. For the energy of formation from the pure elements, the calculation gives -0.743 eV per atom. The calculation puts the density at 15.51 g/cm3. The volume is 19.213 Å³ per atom. Its density of states at the Fermi level is 5.85 states/eV/cell.


[3]
The following is a DFT calculation (GGA-PBE) of a relaxed Ac4Ga2Pt crystal.

a b c (Å): 5.7883 5.7883 8.9196
angles (deg): 108.93 108.93 90.00
Fractional coordinates of all 7 atoms:
Ac (0.8060, 0.8060, 0.6121)
Ac (0.1940, 0.1940, 0.3879)
Ac (0.0000, 0.5000, 0.0000)
Ac (0.5000, 0.0000, 0.0000)
Ga (0.6108, 0.6108, 0.2216)
Ga (0.3892, 0.3892, 0.7784)
Pt (0.0000, 0.0000, 0.0000)

Values from the calculation:
Its offset from the most stable computed form is 119 meV per atom. For the energy of formation from the pure elements, the calculation gives -0.393 eV per atom. The calculation puts the density at 7.77 g/cm3. The volume is 37.932 Å³ per atom. Its density of states at the Fermi level is 6.74 states/eV/cell.


[4]
The following is a DFT calculation (GGA-PBE) of a relaxed Ac3Ga9Pt2 crystal.

a b c (Å): 4.4951 8.5959 8.5959
angles (deg): 74.62 74.84 74.84
Fractional coordinates of all 14 atoms:
Ac (0.0000, 0.0000, 0.0000)
Ac (0.6799, 0.3201, 0.3201)
Ac (0.3201, 0.6799, 0.6799)
Ga (0.0000, 0.5000, 0.5000)
Ga (0.6691, 0.9649, 0.6968)
Ga (0.3309, 0.0351, 0.3032)
Ga (0.6691, 0.6968, 0.9649)
Ga (0.3309, 0.3032, 0.0351)
Ga (0.8744, 0.8506, 0.4007)
Ga (0.1256, 0.1494, 0.5993)
Ga (0.8744, 0.4007, 0.8506)
Ga (0.1256, 0.5993, 0.1494)
Pt (0.5000, 0.2690, 0.7310)
Pt (0.5000, 0.7310, 0.2690)

Values from the calculation:
For the energy of formation from the pure elements, the calculation gives -0.635 eV per atom. The calculation puts the density at 9.33 g/cm3. The volume is 21.603 Å³ per atom. Its density of states at the Fermi level is 8.40 states/eV/cell.


[5]
The following is a DFT calculation (GGA-PBE) of a relaxed Ac3Ga3Pt crystal.

a b c (Å): 4.3994 4.6235 10.3035
angles (deg): 102.97 102.33 90.00
Fractional coordinates of all 7 atoms:
Ac (0.3172, 0.8172, 0.6344)
Ac (0.6862, 0.1862, 0.3724)
Ac (0.9988, 0.9988, 0.9975)
Ga (0.1387, 0.6387, 0.2774)
Ga (0.8635, 0.3635, 0.7269)
Ga (0.5633, 0.5633, 0.1265)
Pt (0.4324, 0.4324, 0.8648)

Values from the calculation:
For the energy of formation from the pure elements, the calculation gives -0.688 eV per atom. The calculation puts the density at 9.04 g/cm3. The volume is 28.468 Å³ per atom. Its density of states at the Fermi level is 8.18 states/eV/cell.


[6]
The following is a DFT calculation (GGA-PBE) of a relaxed AcGa5Pt7 crystal.

a b c (Å): 5.4506 6.9433 6.9433
angles (deg): 82.85 66.89 66.89
Fractional coordinates of all 13 atoms:
Ac (0.9938, 0.0062, 0.0062)
Ga (0.4992, 0.0018, 0.4865)
Ga (0.0124, 0.0018, 0.4865)
Ga (0.4992, 0.4865, 0.0018)
Ga (0.0124, 0.4865, 0.0018)
Ga (0.7262, 0.7738, 0.7738)
Pt (0.6510, 0.3490, 0.3490)
Pt (0.3302, 0.6698, 0.6698)
Pt (0.9844, 0.3586, 0.6726)
Pt (0.9844, 0.6726, 0.3586)
Pt (0.2692, 0.2308, 0.2308)
Pt (0.5188, 0.7672, 0.1952)
Pt (0.5188, 0.1952, 0.7672)

Values from the calculation:
For the energy of formation from the pure elements, the calculation gives -0.614 eV per atom. The calculation puts the density at 14.51 g/cm3. The volume is 17.088 Å³ per atom. Its density of states at the Fermi level is 4.32 states/eV/cell.


[7]
The following is a DFT calculation (GGA-PBE) of a relaxed AcGa2Pt3 crystal.

a b c (Å): 5.9346 6.6637 6.6637
angles (deg): 102.53 90.00 90.00
Fractional coordinates of all 12 atoms:
Ac (0.7500, 0.3257, 0.6743)
Ac (0.2500, 0.6743, 0.3257)
Ga (0.0000, 0.8257, 0.8257)
Ga (0.5000, 0.8257, 0.8257)
Ga (0.0000, 0.1743, 0.1743)
Ga (0.5000, 0.1743, 0.1743)
Pt (0.2500, 0.1390, 0.8610)
Pt (0.2500, 0.5264, 0.8208)
Pt (0.7500, 0.8208, 0.5264)
Pt (0.2500, 0.1792, 0.4736)
Pt (0.7500, 0.4736, 0.1792)
Pt (0.7500, 0.8610, 0.1390)

Values from the calculation:
Its offset from the most stable computed form is 82 meV per atom. For the energy of formation from the pure elements, the calculation gives -0.824 eV per atom. The calculation puts the density at 12.29 g/cm3. The volume is 21.437 Å³ per atom. Its density of states at the Fermi level is 5.01 states/eV/cell.


[8]
The following is a DFT calculation (GGA-PBE) of a relaxed Ac3GaPt crystal.

a b c (Å): 7.1911 10.5351 10.2000
angles (deg): 113.88 90.00 90.00
Fractional coordinates of all 20 atoms:
Ac (0.0654, 0.6248, 0.8818)
Ac (0.9346, 0.3752, 0.1182)
Ac (0.5654, 0.8752, 0.1182)
Ac (0.4346, 0.1248, 0.8818)
Ac (0.5859, 0.4449, 0.7927)
Ac (0.4141, 0.5551, 0.2073)
Ac (0.0859, 0.0551, 0.2073)
Ac (0.9141, 0.9449, 0.7927)
Ac (0.0805, 0.2155, 0.6078)
Ac (0.9195, 0.7845, 0.3922)
Ac (0.5805, 0.2845, 0.3922)
Ac (0.4195, 0.7155, 0.6078)
Ga (0.8459, 0.5715, 0.5615)
Ga (0.1541, 0.4285, 0.4385)
Ga (0.3459, 0.9285, 0.4384)
Ga (0.6541, 0.0715, 0.5616)
Pt (0.2354, 0.3801, 0.9114)
Pt (0.7646, 0.6199, 0.0886)
Pt (0.7354, 0.1200, 0.0886)
Pt (0.2646, 0.8800, 0.9114)

Values from the calculation:
For the energy of formation from the pure elements, the calculation gives -0.610 eV per atom. The calculation puts the density at 8.89 g/cm3. The volume is 35.330 Å³ per atom. Its density of states at the Fermi level is 19.00 states/eV/cell.


[9]
The following is a DFT calculation (GGA-PBE) of a relaxed AcGaPt crystal.

a b c (Å): 4.4039 6.0290 6.3648
angles (deg): 73.59 69.76 68.58
Fractional coordinates of all 6 atoms:
Ac (0.5567, 0.1917, 0.6948)
Ac (0.4433, 0.8083, 0.3052)
Ga (0.8088, 0.2888, 0.0937)
Ga (0.1912, 0.7112, 0.9063)
Pt (0.1622, 0.3791, 0.2964)
Pt (0.8378, 0.6209, 0.7036)

Values from the calculation:
Its offset from the most stable computed form is 40 meV per atom. For the energy of formation from the pure elements, the calculation gives -0.939 eV per atom. The calculation puts the density at 11.25 g/cm3. The volume is 24.205 Å³ per atom. Its density of states at the Fermi level is 3.99 states/eV/cell.


[10]
The following is a DFT calculation (GGA-PBE) of a relaxed Ac2Ga7Pt crystal.

a b c (Å): 4.5466 4.5466 10.4418
angles (deg): 90.00 90.00 90.00
Fractional coordinates of all 10 atoms:
Ac (0.5000, 0.0000, 0.7567)
Ac (0.0000, 0.5000, 0.2433)
Ga (0.0000, 0.5000, 0.8789)
Ga (0.5000, 0.0000, 0.3678)
Ga (0.5000, 0.0000, 0.1211)
Ga (0.0000, 0.5000, 0.6322)
Ga (0.0000, 0.0000, 0.5000)
Ga (0.0000, 0.0000, 0.0000)
Ga (0.5000, 0.5000, 0.5000)
Pt (0.5000, 0.5000, 0.0000)

Values from the calculation:
For the energy of formation from the pure elements, the calculation gives -0.620 eV per atom. The calculation puts the density at 8.75 g/cm3. The volume is 21.585 Å³ per atom. Its density of states at the Fermi level is 3.33 states/eV/cell.


[11]
The following is a DFT calculation (GGA-PBE) of a relaxed AcGa5Pt2 crystal.

a b c (Å): 4.2448 6.6042 6.6042
angles (deg): 66.86 71.25 71.25
Fractional coordinates of all 8 atoms:
Ac (0.0000, 0.0000, 0.0000)
Ga (0.0000, 0.5000, 0.5000)
Ga (0.6469, 0.5432, 0.1630)
Ga (0.3531, 0.4568, 0.8370)
Ga (0.3531, 0.8370, 0.4568)
Ga (0.6469, 0.1630, 0.5432)
Pt (0.7611, 0.7389, 0.7389)
Pt (0.2389, 0.2611, 0.2611)

Values from the calculation:
For the energy of formation from the pure elements, the calculation gives -0.698 eV per atom. The calculation puts the density at 10.21 g/cm3. The volume is 19.640 Å³ per atom. Its density of states at the Fermi level is 2.94 states/eV/cell.


[12]
The following is a DFT calculation (GGA-PBE) of a relaxed Ac2GaPt3 crystal.

a b c (Å): 6.1866 6.1866 8.8175
angles (deg): 108.50 108.50 95.48
Fractional coordinates of all 12 atoms:
Ac (0.2500, 0.7500, 0.5000)
Ac (0.7576, 0.7576, 0.0000)
Ac (0.7500, 0.2500, 0.5000)
Ac (0.2424, 0.2424, 0.0000)
Ga (0.6668, 0.6668, 0.3336)
Ga (0.3332, 0.3332, 0.6664)
Pt (0.3491, 0.8250, 0.1741)
Pt (0.1750, 0.6509, 0.8259)
Pt (0.6509, 0.1750, 0.8259)
Pt (0.8250, 0.3491, 0.1741)
Pt (0.1710, 0.1710, 0.3421)
Pt (0.8290, 0.8290, 0.6579)

Values from the calculation:
Its offset from the most stable computed form is 17 meV per atom. For the energy of formation from the pure elements, the calculation gives -1.041 eV per atom. The calculation puts the density at 12.43 g/cm3. The volume is 24.683 Å³ per atom. Its density of states at the Fermi level is 6.48 states/eV/cell.


Please write out number 4 again, unchanged.
The following is a DFT calculation (GGA-PBE) of a relaxed Ac3Ga9Pt2 crystal.

a b c (Å): 4.4951 8.5959 8.5959
angles (deg): 74.62 74.84 74.84
Fractional coordinates of all 14 atoms:
Ac (0.0000, 0.0000, 0.0000)
Ac (0.6799, 0.3201, 0.3201)
Ac (0.3201, 0.6799, 0.6799)
Ga (0.0000, 0.5000, 0.5000)
Ga (0.6691, 0.9649, 0.6968)
Ga (0.3309, 0.0351, 0.3032)
Ga (0.6691, 0.6968, 0.9649)
Ga (0.3309, 0.3032, 0.0351)
Ga (0.8744, 0.8506, 0.4007)
Ga (0.1256, 0.1494, 0.5993)
Ga (0.8744, 0.4007, 0.8506)
Ga (0.1256, 0.5993, 0.1494)
Pt (0.5000, 0.2690, 0.7310)
Pt (0.5000, 0.7310, 0.2690)

Values from the calculation:
For the energy of formation from the pure elements, the calculation gives -0.635 eV per atom. The calculation puts the density at 9.33 g/cm3. The volume is 21.603 Å³ per atom. Its density of states at the Fermi level is 8.40 states/eV/cell.


Question: energy of formation from the pure elements of number 1 (Ac3Ga4Pt4)?
Answer: -0.952 eV per atom


Question: Among the records above, which one has the highest energy of formation from the pure elements?
Answer: Ac4Ga2Pt